Computed, not measured: crystalline ReP at its relaxed geometry at the PBE-GGA level of DFT.

Cell lengths 11.135, 11.135, 3.036 Å; angles 90.00, 90.00, 90.00 degrees
Atoms (fractional coordinates):
1 Re 0.105 0.423 0.000
2 Re 0.577 0.105 0.000
3 Re 0.753 0.427 0.500
4 Re 0.427 0.247 0.500
5 Re 0.423 0.895 0.000
6 P 0.246 0.353 0.500
7 Re 0.895 0.577 0.000
8 P 0.364 0.103 0.000
9 P 0.353 0.754 0.500
10 P 0.754 0.647 0.500
11 P 0.897 0.364 0.000
12 P 0.636 0.897 0.000
13 P 0.103 0.636 0.000
14 Re 0.573 0.753 0.500
15 P 0.647 0.246 0.500
16 Re 0.247 0.573 0.500

Results
Symmetry   No. 83
Polymorph energy (0 for the lowest one)   408 meV/atom
Final energy   -140.96 eV for the cell shown
Size of the total moment   0.0 μB/cell
Formation energy from the elements   0.119 eV/atom